Below is a relaxed structure of TlCdCoNi, with properties calculated at the PBE-GGA level.

a = 4.4707 Å, b = 4.4707 Å, c = 4.4707 Å
α = 60.00°, β = 60.00°, γ = 60.00°
Closest atoms and distances in Å follow each position.
Atoms (fractional coordinates):
Cd1 0.5000 0.5000 0.5000  4 Co 2.74, 4 Ni 2.74
Co1 0.7500 0.7500 0.7500  4 Cd 2.74, 4 Tl 2.74
Ni1 0.2500 0.2500 0.2500  4 Cd 2.74, 4 Tl 2.74
Tl1 0.0000 0.0000 0.0000  4 Co 2.74, 4 Ni 2.74

Results
total energy: -0.135 Ha/atom
crystal system: cubic
total magnetization: 0.862 Bohr magnetons per cell
symmetry: No. 216